{
  "formula": "CaCl",
  "functional": "PBE-GGA",
  "state": "optimized geometry",
  "cell": [[-0.457, 1.757, 3.559], [-1.131, -3.797, -0.513], [8.240, -2.784, 2.431]],
  "species": ["Ca", "Ca", "Cl", "Cl"],
  "fractional_positions": [[0.333, 0.667, 0.696], [0.667, 0.333, 0.196], [0.333, 0.667, 0.386], [0.667, 0.333, 0.886]],
  "final_energy_ev_per_atom": -3.400,
  "formation_energy_uncorrected_kcal_per_mol_atoms": -34.04,
  "magmom_total_mub_per_atom": 0.4065,
  "dos_at_fermi_per_ev_cell": 2.1
}